(1)
The following is a DFT calculation (PBE) of an optimized crystal structure of ZrSe2.

Unit cell a=6.060 b=6.750 c=3.826 alpha=90.00 beta=90.00 gamma=90.00
Element x y z (fractional)
Zr 0.000 0.000 0.000
Zr 0.500 0.500 0.500
Se 0.248 0.343 0.000
Se 0.252 0.843 0.500
Se 0.748 0.157 0.500
Se 0.752 0.657 0.000

Values from the calculation:
Formation energy without anion corrections: -1.1970 eV/atom
Energy: -19.11 eV per formula unit

(2)
The following is a DFT calculation (PBE) of an optimized crystal structure of Zr3Se.

Unit cell a=5.029 b=5.029 c=3.453 alpha=90.00 beta=90.00 gamma=107.46
Element x y z (fractional)
Zr 0.000 0.000 0.000
Zr 0.000 0.500 0.500
Zr 0.500 0.000 0.500
Se 0.500 0.500 0.000

Values from the calculation:
Formation energy without anion corrections: -0.3909 eV/atom
Energy: -30.69 eV per formula unit

(3)
The following is a DFT calculation (PBE) of an optimized crystal structure of Zr3Se.

Unit cell a=5.498 b=5.498 c=5.498 alpha=90.00 beta=90.00 gamma=90.00
Element x y z (fractional)
Zr 0.000 0.250 0.500
Zr 0.000 0.750 0.500
Zr 0.250 0.500 0.000
Zr 0.500 0.000 0.250
Zr 0.500 0.000 0.750
Zr 0.750 0.500 0.000
Se 0.000 0.000 0.000
Se 0.500 0.500 0.500

Values from the calculation:
Formation energy without anion corrections: -0.3244 eV/atom
Energy: -30.43 eV per formula unit

(4)
The following is a DFT calculation (PBE) of an optimized crystal structure of Zr3Se.

Unit cell a=5.667 b=5.667 c=5.667 alpha=136.70 beta=136.70 gamma=62.90
Element x y z (fractional)
Zr 0.000 0.000 0.000
Zr 0.250 0.750 0.500
Zr 0.750 0.250 0.500
Se 0.500 0.500 0.000

Values from the calculation:
Formation energy without anion corrections: -0.2432 eV/atom
Energy: -30.10 eV per formula unit

(5)
The following is a DFT calculation (PBE) of an optimized crystal structure of ZrSe.

Unit cell a=4.885 b=4.885 c=4.885 alpha=60.00 beta=60.00 gamma=60.00
Element x y z (fractional)
Zr 0.125 0.125 0.125
Zr 0.875 0.875 0.875
Se 0.375 0.375 0.375
Se 0.625 0.625 0.625

Values from the calculation:
Formation energy without anion corrections: -0.1152 eV/atom
Energy: -12.26 eV per formula unit

(6)
The following is a DFT calculation (PBE) of an optimized crystal structure of Zr3Se.

Unit cell a=3.383 b=3.383 c=8.952 alpha=90.00 beta=90.00 gamma=120.00
Element x y z (fractional)
Zr 0.000 0.000 0.000
Zr 0.667 0.333 0.280
Zr 0.667 0.333 0.720
Se 0.000 0.000 0.500

Values from the calculation:
Formation energy without anion corrections: -0.5788 eV/atom
Energy: -31.44 eV per formula unit

(7)
The following is a DFT calculation (PBE) of an optimized crystal structure of ZrSe.

Unit cell a=6.230 b=6.230 c=6.230 alpha=148.75 beta=136.28 gamma=54.71
Element x y z (fractional)
Zr 0.350 0.100 0.250
Zr 0.650 0.900 0.750
Se 0.149 0.399 0.750
Se 0.851 0.601 0.250

Values from the calculation:
Formation energy without anion corrections: -0.8851 eV/atom
Energy: -13.80 eV per formula unit

(8)
The following is a DFT calculation (PBE) of an optimized crystal structure of Zr4Se.

Unit cell a=5.002 b=5.002 c=5.002 alpha=90.00 beta=90.00 gamma=90.00
Element x y z (fractional)
Zr 0.000 0.000 0.000
Zr 0.000 0.500 0.500
Zr 0.500 0.000 0.500
Zr 0.500 0.500 0.000
Se 0.500 0.500 0.500

Values from the calculation:
Formation energy without anion corrections: -0.1143 eV/atom
Energy: -38.25 eV per formula unit

(9)
The following is a DFT calculation (PBE) of an optimized crystal structure of Zr3Se.

Unit cell a=5.317 b=5.317 c=5.146 alpha=103.22 beta=103.22 gamma=36.97
Element x y z (fractional)
Zr 0.000 0.000 0.000
Zr 0.228 0.228 0.726
Zr 0.772 0.772 0.274
Se 0.500 0.500 0.500

Values from the calculation:
Formation energy without anion corrections: -0.4139 eV/atom
Energy: -30.78 eV per formula unit

(10)
The following is a DFT calculation (PBE) of an optimized crystal structure of Zr2Se.

Unit cell a=5.753 b=5.753 c=5.753 alpha=60.00 beta=60.00 gamma=60.00
Element x y z (fractional)
Zr 0.000 0.000 0.000
Zr 0.000 0.000 0.500
Zr 0.000 0.500 0.000
Zr 0.500 0.000 0.000
Se 0.375 0.375 0.375
Se 0.625 0.625 0.625

Values from the calculation:
Formation energy without anion corrections: 0.1427 eV/atom
Energy: -20.15 eV per formula unit

(11)
The following is a DFT calculation (PBE) of an optimized crystal structure of Zr3Se.

Unit cell a=8.311 b=8.311 c=8.311 alpha=96.09 beta=96.09 gamma=141.97
Element x y z (fractional)
Zr 0.066 0.031 0.601
Zr 0.116 0.455 0.616
Zr 0.170 0.359 0.980
Zr 0.379 0.190 0.020
Zr 0.429 0.465 0.399
Zr 0.500 0.884 0.339
Zr 0.535 0.934 0.964
Zr 0.545 0.161 0.661
Zr 0.641 0.621 0.811
Zr 0.810 0.830 0.189
Zr 0.839 0.500 0.384
Zr 0.969 0.571 0.036
Se 0.062 0.734 0.747
Se 0.266 0.012 0.328
Se 0.684 0.938 0.672
Se 0.988 0.316 0.253

Values from the calculation:
Formation energy without anion corrections: -0.6877 eV/atom
Energy: -31.88 eV per formula unit

(12)
The following is a DFT calculation (PBE) of an optimized crystal structure of ZrSe3.

Unit cell a=3.851 b=3.851 c=7.338 alpha=90.00 beta=90.00 gamma=90.00
Element x y z (fractional)
Zr 0.000 0.000 0.000
Se 0.000 0.500 0.730
Se 0.500 0.000 0.730
Se 0.500 0.500 0.157

Values from the calculation:
Formation energy without anion corrections: -0.8145 eV/atom
Energy: -22.26 eV per formula unit

(13)
The following is a DFT calculation (PBE) of an optimized crystal structure of Zr7Se.

Unit cell a=6.286 b=6.286 c=6.286 alpha=60.00 beta=60.00 gamma=60.00
Element x y z (fractional)
Zr 0.000 0.000 0.000
Zr 0.000 0.000 0.500
Zr 0.000 0.500 0.000
Zr 0.000 0.500 0.500
Zr 0.500 0.000 0.000
Zr 0.500 0.000 0.500
Zr 0.500 0.500 0.000
Se 0.500 0.500 0.500

Values from the calculation:
Formation energy without anion corrections: -0.1266 eV/atom
Energy: -64.33 eV per formula unit

(14)
The following is a DFT calculation (PBE) of an optimized crystal structure of ZrSe3.

Unit cell a=4.815 b=4.815 c=3.461 alpha=90.00 beta=90.00 gamma=90.00
Element x y z (fractional)
Zr 0.000 0.000 0.000
Se 0.000 0.500 0.500
Se 0.500 0.000 0.500
Se 0.500 0.500 0.000

Values from the calculation:
Formation energy without anion corrections: -0.2341 eV/atom
Energy: -19.94 eV per formula unit